[1]
Below is an optimized crystal structure of Ba3DyFe2O9, with properties calculated at the PBE with a Hubbard U level.

Values from the calculation:
- total DFT energy (no corrections) (eV/atom) = -6.5739

a = 5.8531 Å, b = 5.8531 Å, c = 7.1775 Å
α = 90.00°, β = 90.00°, γ = 120.00°
Last column: nearest neighbours and their distance in Å.
Fractional positions:
Ba 0.0000 0.0000 0.0000  12 O 2.89-2.93
Ba 0.3333 0.6667 0.6779  12 O 2.86-3.04
Ba 0.6667 0.3333 0.3221  12 O 2.86-3.04
Dy 0.0000 0.0000 0.5000  6 O 2.22
Fe 0.3333 0.6667 0.1638  6 O 1.93-2.06
Fe 0.6667 0.3333 0.8362  6 O 1.93-2.06
O 0.0000 0.5000 0.0000  2 Fe 2.06
O 0.1765 0.3530 0.3168  1 Fe 1.93
O 0.1765 0.8235 0.3168  1 Fe 1.93
O 0.3530 0.1765 0.6832  1 Fe 1.93
O 0.5000 0.0000 0.0000  2 Fe 2.06
O 0.5000 0.5000 0.0000  2 Fe 2.06
O 0.6470 0.8235 0.3168  1 Fe 1.93
O 0.8235 0.1765 0.6832  1 Fe 1.93
O 0.8235 0.6470 0.6832  1 Fe 1.93

---

[2]
Below is an optimized crystal structure of Ba2DyFe2O6, with properties calculated at the PBE with a Hubbard U level.

Values from the calculation:
- total DFT energy (no corrections) (eV/atom) = -6.8019

a = 6.7973 Å, b = 6.7973 Å, c = 6.7973 Å
α = 53.84°, β = 53.84°, γ = 53.84°
Last column: nearest neighbours and their distance in Å.
Fractional positions:
Ba 0.2116 0.2116 0.2116  3 O 2.78
Ba 0.7884 0.7884 0.7884  3 O 2.78
Dy 0.0000 0.0000 0.0000  6 O 2.27
Fe 0.4265 0.4265 0.4265  3 O 1.85
Fe 0.5735 0.5735 0.5735  3 O 1.85
O 0.2347 0.7540 0.7540  1 Fe 1.85
O 0.2460 0.2460 0.7653  1 Fe 1.85
O 0.2460 0.7653 0.2460  1 Fe 1.85
O 0.7540 0.2347 0.7540  1 Fe 1.85
O 0.7540 0.7540 0.2347  1 Fe 1.85
O 0.7653 0.2460 0.2460  1 Fe 1.85

---

[3]
Below is an optimized crystal structure of Ba3DyFe2O8, with properties calculated at the PBE with a Hubbard U level.

Values from the calculation:
- total DFT energy (no corrections) (eV/atom) = -6.6828

a = 6.0327 Å, b = 6.0327 Å, c = 7.6310 Å
α = 90.00°, β = 90.00°, γ = 120.00°
Last column: nearest neighbours and their distance in Å.
Fractional positions:
Ba 0.0000 0.0000 0.0000  6 O 3.01
Ba 0.3333 0.6667 0.6559  1 O 2.46
Ba 0.6667 0.3333 0.3441  1 O 2.46
Dy 0.0000 0.0000 0.5000  6 O 2.24
Fe 0.3333 0.6667 0.2148  4 O 1.80-1.89
Fe 0.6667 0.3333 0.7852  4 O 1.80-1.89
O 0.1693 0.3386 0.3193  1 Fe 1.89
O 0.1693 0.8307 0.3193  1 Fe 1.89
O 0.3333 0.6667 0.9788  1 Fe 1.80
O 0.3386 0.1693 0.6807  1 Fe 1.89
O 0.6614 0.8307 0.3193  1 Fe 1.89
O 0.6667 0.3333 0.0212  1 Fe 1.80
O 0.8307 0.1693 0.6807  1 Fe 1.89
O 0.8307 0.6614 0.6807  1 Fe 1.89

---

[4]
Below is an optimized crystal structure of BaDyFe4O12, with properties calculated at the PBE with a Hubbard U level.

Values from the calculation:
- total DFT energy (no corrections) (eV/atom) = -6.2142

a = 5.4556 Å, b = 5.4556 Å, c = 7.6554 Å
α = 90.00°, β = 90.00°, γ = 90.00°
Last column: nearest neighbours and their distance in Å.
Fractional positions:
Ba 0.0000 0.0000 0.0000  12 O 2.73-2.89
Dy 0.5000 0.5000 0.5000  12 O 2.54-2.73
Fe 0.0000 0.5000 0.2516  6 O 1.90-1.94
Fe 0.0000 0.5000 0.7484  6 O 1.90-1.94
Fe 0.5000 0.0000 0.2516  6 O 1.90-1.94
Fe 0.5000 0.0000 0.7484  6 O 1.90-1.94
O 0.0000 0.5000 0.0000  2 Fe 1.93
O 0.0000 0.5000 0.5000  2 Fe 1.90
O 0.2622 0.2622 0.2701  2 Fe 1.94
O 0.2622 0.2622 0.7299  2 Fe 1.94
O 0.2622 0.7378 0.2701  2 Fe 1.94
O 0.2622 0.7378 0.7299  2 Fe 1.94
O 0.5000 0.0000 0.0000  2 Fe 1.93
O 0.5000 0.0000 0.5000  2 Fe 1.90
O 0.7378 0.2622 0.2701  2 Fe 1.94
O 0.7378 0.2622 0.7299  2 Fe 1.94
O 0.7378 0.7378 0.2701  2 Fe 1.94
O 0.7378 0.7378 0.7299  2 Fe 1.94